Entry 1:
Material: SrNp2RuN4
Method: DFT, PBE
State: optimized geometry

Properties
E_form (uncorrected) (kcal/mol of atoms): -18.511
Magnetic moment (μB per atom): 0.458
Calculated volume (Å³/f.u.): 117.6
Density (g/cm³): 10.151
Space group: Cmcm
E (eV per atom): -9.5703

a b c (Å): 3.4126 6.1062 11.7520
angles (deg): 90.00 90.00 106.23
Closest atoms and distances in Å follow each position.
Fractional coordinates of all 16 atoms:
N  0.2601  0.5202  0.0969  1 Ru 2.09, 3 Np 2.19-2.33
N  0.5679  0.1359  0.2500  2 Ru 2.08
Sr  0.0956  0.1913  0.7500  2 N 2.57
Sr  0.9044  0.8087  0.2500  2 N 2.57
N  0.0000  0.0000  0.0000  4 Np 2.38
Ru  0.8303  0.6606  0.7500  4 N 2.08-2.09
Np  0.6310  0.2621  0.0545  6 N 2.19-2.41
N  0.7399  0.4798  0.9031  1 Ru 2.09, 3 Np 2.19-2.33
Np  0.3690  0.7379  0.5545  6 N 2.19-2.41
N  0.0000  0.0000  0.5000  4 Np 2.38
Ru  0.1697  0.3394  0.2500  4 N 2.08-2.09
N  0.4321  0.8641  0.7500  2 Ru 2.08
Np  0.3690  0.7379  0.9455  6 N 2.19-2.41
Np  0.6310  0.2621  0.4455  6 N 2.19-2.41
N  0.2601  0.5202  0.4031  1 Ru 2.09, 3 Np 2.19-2.33
N  0.7399  0.4798  0.5969  1 Ru 2.09, 3 Np 2.19-2.33


Entry 2:
Material: SbN
Method: DFT, PBE
State: optimized geometry

Properties
E_form (uncorrected) (kcal/mol of atoms): 17.944
Magnetic moment (μB per atom): 0.000
Calculated volume (Å³/f.u.): 88.8
Density (g/cm³): 2.539
Space group: I-43m
E (eV per atom): -5.4458

a b c (Å): 8.9220 8.9220 8.9220
angles (deg): 90.00 90.00 90.00
Closest atoms and distances in Å follow each position.
Fractional coordinates of all 16 atoms:
N  0.1169  0.1169  0.1169  3 Sb 2.14
Sb  0.8773  0.8773  0.8773  3 N 2.14
N  0.3831  0.6169  0.3831  3 Sb 2.14
N  0.8831  0.8831  0.1169  3 Sb 2.14
Sb  0.3773  0.3773  0.3773  3 N 2.14
N  0.1169  0.8831  0.8831  3 Sb 2.14
Sb  0.6227  0.3773  0.6227  3 N 2.14
N  0.6169  0.3831  0.3831  3 Sb 2.14
Sb  0.1227  0.1227  0.8773  3 N 2.14
Sb  0.8773  0.1227  0.1227  3 N 2.14
Sb  0.3773  0.6227  0.6227  3 N 2.14
N  0.8831  0.1169  0.8831  3 Sb 2.14
N  0.6169  0.6169  0.6169  3 Sb 2.14
Sb  0.6227  0.6227  0.3773  3 N 2.14
Sb  0.1227  0.8773  0.1227  3 N 2.14
N  0.3831  0.3831  0.6169  3 Sb 2.14


Entry 3:
Material: Pr4IrBr2N
Method: DFT, PBE
State: optimized geometry

Properties
E_form (uncorrected) (kcal/mol of atoms): -26.040
Magnetic moment (μB per atom): 0.000
Calculated volume (Å³/f.u.): 212.8
Density (g/cm³): 7.254
Space group: P2/m
E (eV per atom): -6.0855

a b c (Å): 3.9198 7.0853 8.0279
angles (deg): 107.35 90.00 90.00
Closest atoms and distances in Å follow each position.
Fractional coordinates of all 8 atoms:
Pr  0.5000  0.7959  0.8163  2 N 2.61, 1 Ir 2.90
Pr  0.0000  0.2473  0.8083  1 N 2.65, 2 Ir 2.79
Br  0.5000  0.0000  0.5000  6 Pr 3.23-3.28
Ir  0.5000  0.5000  0.0000  6 Pr 2.79-2.90
Br  0.0000  0.5000  0.5000  6 Pr 3.39-3.46
N  0.0000  0.0000  0.0000  6 Pr 2.61-2.65
Pr  0.0000  0.7527  0.1917  1 N 2.65, 2 Ir 2.79
Pr  0.5000  0.2041  0.1837  2 N 2.61, 1 Ir 2.90